Entry 1:
The following is a DFT calculation (PBE) of a geometry-optimized MnHBr3 structure.

a = 5.0959 Å, b = 5.0959 Å, c = 5.0959 Å
α = 90.00°, β = 90.00°, γ = 90.00°
Closest atoms and distances in Å follow each position.
Space group Pm-3m (No. 221)
Inequivalent atoms, fractional coordinates:
Mn  0.0000  0.0000  0.0000 [1 per cell]  6 Br 2.55
H  0.5000  0.5000  0.5000 [1 per cell]  12 Br 3.60
Br  0.0000  0.0000  0.5000 [3 per cell]  2 Mn 2.55

Energy above the lowest structure with this stoichiometry ... 0.000 eV per formula unit

=====

Entry 2:
The following is a DFT calculation (PBE) of a geometry-optimized MnH2Br6 structure.

a = 18.7547 Å, b = 12.4778 Å, c = 5.6735 Å
α = 90.00°, β = 106.82°, γ = 90.00°
Closest atoms and distances in Å follow each position.
Space group C2/c (No. 15)
Inequivalent atoms, fractional coordinates:
Mn  0.0000  0.2460  0.2500 [4 per cell]  4 Br 2.28
H  0.2438  0.4762  0.3264 [8 per cell]  1 Br 1.47
Br  0.0673  0.3654  0.5299 [8 per cell]  1 Mn 2.28
Br  0.0704  0.1265  0.1117 [8 per cell]  1 Mn 2.28
Br  0.2439  0.3989  0.1306 [8 per cell]  1 H 1.47

=====

Entry 3:
The following is a DFT calculation (PBE) of a geometry-optimized MnHBr2 structure.

a = 5.3331 Å, b = 5.3331 Å, c = 10.0881 Å
α = 90.00°, β = 90.00°, γ = 90.00°
Closest atoms and distances in Å follow each position.
Space group I-42d (No. 122)
Inequivalent atoms, fractional coordinates:
Mn  0.0000  0.0000  0.0000 [4 per cell]  4 Br 2.32
H  0.0000  0.0000  0.5000 [4 per cell]  4 Br 2.22
Br  0.2335  0.2500  0.6250 [8 per cell]  2 H 2.22, 2 Mn 2.32

=====

Entry 4:
The following is a DFT calculation (PBE) of a geometry-optimized Mn2HBr structure.

a = 5.3657 Å, b = 5.3657 Å, c = 8.6539 Å
α = 90.00°, β = 90.00°, γ = 90.00°
Closest atoms and distances in Å follow each position.
Space group I-42d (No. 122)
Inequivalent atoms, fractional coordinates:
Mn  0.1303  0.2500  0.1250 [8 per cell]  2 H 1.86
H  0.0000  0.0000  0.0000 [4 per cell]  4 Mn 1.86
Br  0.0000  0.0000  0.5000 [4 per cell]  4 Mn 2.63

Energy above the lowest structure with this stoichiometry ... 0.000 eV per formula unit

=====

Entry 5:
The following is a DFT calculation (PBE) of a geometry-optimized MnH3Br structure.

a = 3.9518 Å, b = 3.9518 Å, c = 3.9518 Å
α = 90.00°, β = 90.00°, γ = 90.00°
Closest atoms and distances in Å follow each position.
Space group Pm-3m (No. 221)
Inequivalent atoms, fractional coordinates:
Mn  0.0000  0.0000  0.0000 [1 per cell]  12 H 2.79
H  0.0000  0.5000  0.5000 [3 per cell]  2 Br 1.98
Br  0.5000  0.5000  0.5000 [1 per cell]  6 H 1.98

Energy above the lowest structure with this stoichiometry ... 3.920 eV per formula unit

=====

Entry 6:
The following is a DFT calculation (PBE) of a geometry-optimized MnH3Br structure.

a = 3.6992 Å, b = 3.6992 Å, c = 3.6992 Å
α = 90.00°, β = 90.00°, γ = 90.00°
Closest atoms and distances in Å follow each position.
Space group Pm-3m (No. 221)
Inequivalent atoms, fractional coordinates:
Mn  0.0000  0.0000  0.0000 [1 per cell]  6 H 1.85
H  0.0000  0.0000  0.5000 [3 per cell]  2 Mn 1.85
Br  0.5000  0.5000  0.5000 [1 per cell]  12 H 2.62

Energy above the lowest structure with this stoichiometry ... 0.000 eV per formula unit

=====

Entry 7:
The following is a DFT calculation (PBE) of a geometry-optimized MnH2Br2 structure.

a = 7.4040 Å, b = 7.4040 Å, c = 3.7518 Å
α = 90.00°, β = 90.00°, γ = 90.00°
Closest atoms and distances in Å follow each position.
Space group P4/mbm (No. 127)
Inequivalent atoms, fractional coordinates:
Mn  0.0000  0.0000  0.0000 [2 per cell]  4 Br 2.69
H  0.1925  0.3075  0.5000 [4 per cell]  2 Br 1.88
Br  0.1915  0.3085  0.0000 [4 per cell]  2 H 1.88

Energy above the lowest structure with this stoichiometry ... 2.529 eV per formula unit

=====

Entry 8:
The following is a DFT calculation (PBE) of a geometry-optimized MnHBr3 structure.

a = 4.7233 Å, b = 4.7233 Å, c = 4.7233 Å
α = 90.00°, β = 90.00°, γ = 90.00°
Closest atoms and distances in Å follow each position.
Space group Pm-3m (No. 221)
Inequivalent atoms, fractional coordinates:
Mn  0.0000  0.0000  0.0000 [1 per cell]  12 Br 3.34
H  0.5000  0.5000  0.5000 [1 per cell]  6 Br 2.36
Br  0.0000  0.5000  0.5000 [3 per cell]  2 H 2.36

Energy above the lowest structure with this stoichiometry ... 2.049 eV per formula unit

=====

Calculated DFT total energy, -17.2; -116.3; -54.7; -88.9; -14.4; -18.4; -34.2; -15.1 eV for the cell shown (same order as the records).